Record 1
! ZrFe3Se PBE-GGA optimized geometry; values from VASP
&SYSTEM
  ibrav = 0, nat = 5, ntyp = 3
/
ATOMIC_SPECIES
Se 78.96 Se.upf
Zr 91.22 Zr.upf
Fe 55.84 Fe.upf
ATOMIC_POSITIONS crystal
Se 0.500 0.500 0.500
Zr 0.000 0.000 0.000
Fe 0.000 0.500 0.000
Fe 0.000 0.000 0.500
Fe 0.500 0.000 0.000
CELL_PARAMETERS angstrom
-1.987 -1.962 3.732
-1.737 -3.378 -2.701
3.841 -2.542 0.709
! * raw formation energy: 1.53 eV/atom
! * total energy: -29.764 eV per formula unit
! * crystal system: cubic
! * offset from the most stable computed form: 1.129 eV/atom

***

Record 2
! ZrFeSe PBE-GGA optimized geometry; values from VASP
&SYSTEM
  ibrav = 0, nat = 3, ntyp = 3
/
ATOMIC_SPECIES
Fe 55.84 Fe.upf
Se 78.96 Se.upf
Zr 91.22 Zr.upf
ATOMIC_POSITIONS crystal
Fe 0.000 0.000 0.165
Se 0.667 0.333 0.167
Zr 0.333 0.667 0.667
CELL_PARAMETERS angstrom
4.028 0.000 0.000
-2.014 3.488 0.000
0.000 0.000 3.420
! * raw formation energy: -0.54 eV/atom
! * total energy: -22.117 eV per formula unit
! * crystal system: trigonal

***

Record 3
! ZrFe3Se PBE-GGA optimized geometry; values from VASP
&SYSTEM
  ibrav = 0, nat = 5, ntyp = 3
/
ATOMIC_SPECIES
Se 78.96 Se.upf
Zr 91.22 Zr.upf
Fe 55.84 Fe.upf
ATOMIC_POSITIONS crystal
Se 0.000 0.000 0.000
Zr 0.500 0.500 0.500
Fe 0.000 0.500 0.000
Fe 0.000 0.000 0.500
Fe 0.500 0.000 0.000
CELL_PARAMETERS angstrom
-2.029 -0.358 3.827
-2.430 -3.233 -1.591
2.978 -2.883 1.309
! * raw formation energy: 0.40 eV/atom
! * total energy: -35.411 eV per formula unit
! * crystal system: cubic
! * offset from the most stable computed form: 0.000 eV/atom

***

Record 4
! ZrFeSe PBE-GGA optimized geometry; values from VASP
&SYSTEM
  ibrav = 0, nat = 3, ntyp = 3
/
ATOMIC_SPECIES
Fe 55.84 Fe.upf
Se 78.96 Se.upf
Zr 91.22 Zr.upf
ATOMIC_POSITIONS crystal
Fe 0.986 0.986 0.000
Se 0.353 0.353 0.000
Zr 0.660 0.660 0.000
CELL_PARAMETERS angstrom
5.214 -0.070 0.000
3.155 4.151 0.000
-4.184 -2.040 2.348
! * raw formation energy: -0.30 eV/atom
! * total energy: -21.387 eV per formula unit
! * crystal system: tetragonal

***

Record 5
! ZrFe4Se PBE-GGA optimized geometry; values from VASP
&SYSTEM
  ibrav = 0, nat = 6, ntyp = 3
/
ATOMIC_SPECIES
Zr 91.22 Zr.upf
Fe 55.84 Fe.upf
Se 78.96 Se.upf
ATOMIC_POSITIONS crystal
Zr 0.000 0.000 0.000
Fe 0.877 0.374 0.374
Fe 0.374 0.374 0.877
Fe 0.374 0.877 0.374
Fe 0.374 0.374 0.374
Se 0.750 0.750 0.750
CELL_PARAMETERS angstrom
3.089 -2.170 3.204
1.452 2.423 4.067
-1.645 -1.422 4.449
! * raw formation energy: 0.00 eV/atom
! * total energy: -45.868 eV per formula unit
! * crystal system: cubic

***

Record 6
! Zr4FeSe PBE-GGA optimized geometry; values from VASP
&SYSTEM
  ibrav = 0, nat = 6, ntyp = 3
/
ATOMIC_SPECIES
Zr 91.22 Zr.upf
Fe 55.84 Fe.upf
Se 78.96 Se.upf
ATOMIC_POSITIONS crystal
Zr 0.870 0.377 0.377
Zr 0.377 0.377 0.870
Zr 0.377 0.870 0.377
Zr 0.377 0.377 0.377
Fe 0.750 0.750 0.750
Se 0.000 0.000 0.000
CELL_PARAMETERS angstrom
-1.469 -3.282 4.417
-4.200 1.628 3.485
-4.973 -2.775 -0.044
! * raw formation energy: 0.53 eV/atom
! * total energy: -42.985 eV per formula unit
! * crystal system: cubic
! * offset from the most stable computed form: 1.036 eV/atom

***

Record 7
! Zr3FeSe PBE-GGA optimized geometry; values from VASP
&SYSTEM
  ibrav = 0, nat = 5, ntyp = 3
/
ATOMIC_SPECIES
Se 78.96 Se.upf
Zr 91.22 Zr.upf
Fe 55.84 Fe.upf
ATOMIC_POSITIONS crystal
Se 0.500 0.500 0.500
Zr 0.000 0.500 0.000
Zr 0.500 0.000 0.000
Zr 0.000 0.000 0.500
Fe 0.000 0.000 0.000
CELL_PARAMETERS angstrom
4.825 0.000 0.000
0.000 4.825 0.000
0.000 0.000 4.825
! * raw formation energy: 0.04 eV/atom
! * total energy: -37.403 eV per formula unit
! * crystal system: cubic

***

Record 8
! Zr4FeSe PBE-GGA optimized geometry; values from VASP
&SYSTEM
  ibrav = 0, nat = 24, ntyp = 3
/
ATOMIC_SPECIES
Zr 91.22 Zr.upf
Fe 55.84 Fe.upf
Se 78.96 Se.upf
ATOMIC_POSITIONS crystal
Zr 0.750 0.848 0.648
Zr 0.250 0.152 0.352
Zr 0.250 0.652 0.148
Zr 0.750 0.348 0.852
Zr 0.750 0.866 0.448
Zr 0.250 0.134 0.552
Zr 0.250 0.634 0.948
Zr 0.750 0.366 0.052
Zr 0.750 0.983 0.929
Zr 0.250 0.017 0.071
Zr 0.250 0.517 0.429
Zr 0.750 0.483 0.571
Zr 0.750 0.986 0.221
Zr 0.250 0.014 0.779
Zr 0.250 0.514 0.721
Zr 0.750 0.486 0.279
Fe 0.750 0.269 0.451
Fe 0.250 0.731 0.549
Fe 0.250 0.231 0.951
Fe 0.750 0.769 0.049
Se 0.750 0.722 0.810
Se 0.250 0.278 0.190
Se 0.250 0.778 0.310
Se 0.750 0.222 0.690
CELL_PARAMETERS angstrom
3.616 0.000 0.000
0.000 7.531 0.000
0.000 0.000 17.202
! * raw formation energy: -0.51 eV/atom
! * total energy: -49.200 eV per formula unit
! * crystal system: orthorhombic
! * offset from the most stable computed form: 0.000 eV/atom

***

Record 9
! Fe4Si PBE-GGA optimized geometry; values from VASP
&SYSTEM
  ibrav = 0, nat = 5, ntyp = 2
/
ATOMIC_SPECIES
Fe 55.84 Fe.upf
Si 28.09 Si.upf
ATOMIC_POSITIONS crystal
Fe 0.500 0.000 0.000
Fe 0.500 0.500 0.500
Fe 0.000 0.500 0.000
Fe 0.000 0.000 0.500
Si 0.000 0.000 0.000
CELL_PARAMETERS angstrom
3.329 -2.936 0.975
-1.714 1.682 3.858
-3.278 -2.139 -2.309
! * raw formation energy: 0.52 eV/atom
! * total energy: -36.656 eV per formula unit
! * crystal system: cubic
! * offset from the most stable computed form: 0.686 eV/atom

***

Record 10
! Fe2Si PBE-GGA optimized geometry; values from VASP
&SYSTEM
  ibrav = 0, nat = 6, ntyp = 2
/
ATOMIC_SPECIES
Fe 55.84 Fe.upf
Si 28.09 Si.upf
ATOMIC_POSITIONS crystal
Fe 0.625 0.125 0.125
Fe 0.125 0.625 0.125
Fe 0.125 0.125 0.625
Fe 0.125 0.125 0.125
Si 0.500 0.500 0.500
Si 0.750 0.750 0.750
CELL_PARAMETERS angstrom
0.000 3.307 3.307
3.307 0.000 3.307
3.307 3.307 0.000
! * raw formation energy: 0.12 eV/atom
! * total energy: -21.997 eV per formula unit
! * crystal system: cubic

***

Record 11
! FeSi3 PBE-GGA optimized geometry; values from VASP
&SYSTEM
  ibrav = 0, nat = 8, ntyp = 2
/
ATOMIC_SPECIES
Fe 55.84 Fe.upf
Si 28.09 Si.upf
ATOMIC_POSITIONS crystal
Fe 0.664 0.664 0.000
Fe 0.336 0.336 0.000
Si 0.000 0.500 0.500
Si 0.500 0.000 0.500
Si 0.750 0.250 0.500
Si 0.250 0.750 0.500
Si 0.882 0.882 0.000
Si 0.118 0.118 0.000
CELL_PARAMETERS angstrom
5.480 7.609 -1.216
1.026 9.380 -0.610
-2.884 -8.380 3.297
! * raw formation energy: 0.13 eV/atom
! * total energy: -24.201 eV per formula unit
! * crystal system: tetragonal

***

Record 12
! FeSi2 PBE-GGA optimized geometry; values from VASP
&SYSTEM
  ibrav = 0, nat = 6, ntyp = 2
/
ATOMIC_SPECIES
Fe 55.84 Fe.upf
Si 28.09 Si.upf
ATOMIC_POSITIONS crystal
Fe 0.250 0.250 0.000
Fe 0.750 0.750 0.000
Si 0.845 0.345 0.190
Si 0.155 0.655 0.810
Si 0.345 0.155 0.500
Si 0.655 0.845 0.500
CELL_PARAMETERS angstrom
-2.795 2.795 2.373
2.795 -2.795 2.373
2.795 2.795 -2.373
! * raw formation energy: -0.28 eV/atom
! * total energy: -20.156 eV per formula unit
! * crystal system: tetragonal

***

Record 13
! Fe2Si PBE-GGA optimized geometry; values from VASP
&SYSTEM
  ibrav = 0, nat = 6, ntyp = 2
/
ATOMIC_SPECIES
Fe 55.84 Fe.upf
Si 28.09 Si.upf
ATOMIC_POSITIONS crystal
Fe 0.620 0.380 0.750
Fe 0.950 0.050 0.750
Fe 0.050 0.950 0.250
Fe 0.380 0.620 0.250
Si 0.286 0.714 0.750
Si 0.714 0.286 0.250
CELL_PARAMETERS angstrom
1.264 -6.185 0.000
1.264 6.185 0.000
0.000 0.000 4.182
! * raw formation energy: -0.13 eV/atom
! * total energy: -22.749 eV per formula unit
! * crystal system: orthorhombic

***

Record 14
! FeSi2 PBE-GGA optimized geometry; values from VASP
&SYSTEM
  ibrav = 0, nat = 6, ntyp = 2
/
ATOMIC_SPECIES
Fe 55.84 Fe.upf
Si 28.09 Si.upf
ATOMIC_POSITIONS crystal
Fe 0.333 0.667 0.250
Fe 0.667 0.333 0.750
Si 0.000 0.000 0.000
Si 0.000 0.000 0.500
Si 0.333 0.667 0.750
Si 0.667 0.333 0.250
CELL_PARAMETERS angstrom
2.818 2.832 0.732
-3.427 0.998 -1.937
-2.149 1.020 4.328
! * raw formation energy: 0.21 eV/atom
! * total energy: -18.677 eV per formula unit
! * crystal system: hexagonal

***

Record 15
! FeSi2 PBE-GGA optimized geometry; values from VASP
&SYSTEM
  ibrav = 0, nat = 12, ntyp = 2
/
ATOMIC_SPECIES
Fe 55.84 Fe.upf
Si 28.09 Si.upf
ATOMIC_POSITIONS crystal
Fe 0.617 0.000 0.235
Fe 0.117 0.500 0.235
Fe 0.383 0.000 0.765
Fe 0.883 0.500 0.765
Si 0.339 0.659 0.000
Si 0.661 0.341 0.000
Si 0.161 0.159 0.000
Si 0.839 0.841 0.000
Si 0.502 0.750 0.500
Si 0.998 0.250 0.500
Si 0.498 0.250 0.500
Si 0.002 0.750 0.500
CELL_PARAMETERS angstrom
4.790 0.000 -2.473
0.000 5.311 0.000
0.043 0.000 5.960
! * raw formation energy: -0.26 eV/atom
! * total energy: -20.100 eV per formula unit
! * crystal system: orthorhombic

***

Record 16
! Fe3Si2 PBE-GGA optimized geometry; values from VASP
&SYSTEM
  ibrav = 0, nat = 5, ntyp = 2
/
ATOMIC_SPECIES
Fe 55.84 Fe.upf
Si 28.09 Si.upf
ATOMIC_POSITIONS crystal
Fe 0.000 0.000 0.000
Fe 0.667 0.333 0.666
Fe 0.333 0.667 0.334
Si 0.667 0.333 0.180
Si 0.333 0.667 0.820
CELL_PARAMETERS angstrom
1.237 -0.088 3.622
-3.226 -1.820 -0.966
2.484 -3.902 -0.943
! * raw formation energy: -0.16 eV/atom
! * total energy: -37.054 eV per formula unit
! * crystal system: trigonal

***

Record 17
! Fe2Si PBE-GGA optimized geometry; values from VASP
&SYSTEM
  ibrav = 0, nat = 6, ntyp = 2
/
ATOMIC_SPECIES
Fe 55.84 Fe.upf
Si 28.09 Si.upf
ATOMIC_POSITIONS crystal
Fe 0.156 0.344 0.500
Fe 0.844 0.656 0.500
Fe 0.656 0.156 0.812
Fe 0.344 0.844 0.188
Si 0.750 0.750 0.000
Si 0.250 0.250 0.000
CELL_PARAMETERS angstrom
-2.706 2.706 2.377
2.706 -2.706 2.377
2.706 2.706 -2.377
! * raw formation energy: -0.24 eV/atom
! * total energy: -23.060 eV per formula unit
! * crystal system: tetragonal

***

Record 18
! FeSi3 PBE-GGA optimized geometry; values from VASP
&SYSTEM
  ibrav = 0, nat = 4, ntyp = 2
/
ATOMIC_SPECIES
Fe 55.84 Fe.upf
Si 28.09 Si.upf
ATOMIC_POSITIONS crystal
Fe 0.000 0.000 0.000
Si 0.000 0.000 0.500
Si 0.667 0.333 0.222
Si 0.667 0.333 0.778
CELL_PARAMETERS angstrom
2.826 0.000 0.000
-1.413 2.447 0.000
0.000 0.000 7.484
! * raw formation energy: 0.14 eV/atom
! * total energy: -24.189 eV per formula unit
! * crystal system: hexagonal

***

Record 19
! FeSi3 PBE-GGA optimized geometry; values from VASP
&SYSTEM
  ibrav = 0, nat = 4, ntyp = 2
/
ATOMIC_SPECIES
Fe 55.84 Fe.upf
Si 28.09 Si.upf
ATOMIC_POSITIONS crystal
Fe 0.000 0.000 0.000
Si 0.500 0.500 0.500
Si 0.739 0.739 0.765
Si 0.261 0.261 0.235
CELL_PARAMETERS angstrom
4.254 -0.042 -0.024
3.306 2.679 -0.024
0.484 0.169 4.208
! * raw formation energy: 0.06 eV/atom
! * total energy: -24.500 eV per formula unit
! * crystal system: monoclinic

***

Record 20
! Fe4Si5 PBE-GGA optimized geometry; values from VASP
&SYSTEM
  ibrav = 0, nat = 18, ntyp = 2
/
ATOMIC_SPECIES
Si 28.09 Si.upf
Fe 55.84 Fe.upf
ATOMIC_POSITIONS crystal
Si 0.000 0.713 0.250
Si 0.287 0.287 0.250
Si 0.713 0.000 0.250
Si 0.000 0.287 0.750
Si 0.713 0.713 0.750
Si 0.287 0.000 0.750
Si 0.667 0.333 0.000
Si 0.333 0.667 0.500
Si 0.333 0.667 0.000
Si 0.667 0.333 0.500
Fe 0.000 0.000 0.000
Fe 0.000 0.000 0.500
Fe 0.000 0.389 0.250
Fe 0.611 0.611 0.250
Fe 0.389 0.000 0.250
Fe 0.000 0.611 0.750
Fe 0.389 0.389 0.750
Fe 0.611 0.000 0.750
CELL_PARAMETERS angstrom
-6.330 0.429 -2.871
5.644 -0.406 -4.059
-0.337 -4.858 0.017
! * raw formation energy: -0.16 eV/atom
! * total energy: -62.412 eV per formula unit
! * crystal system: hexagonal
! * offset from the most stable computed form: 0.000 eV/atom